# TlTeP2

A geometry-optimized TlTeP2 structure (GGA-PBE, Alexandria via LeMat-Bulk).

a = 4.037 Å, b = 4.016 Å, c = 5.662 Å
α = 90.00°, β = 90.27°, γ = 90.00°
Space group P2/m (No. 10)
One atom of each set of equivalent atoms:
Tl 0.000 0.000 0.000 x1
Te 0.500 0.500 0.500 x1
P 0.000 0.000 0.500 x1
P 0.500 0.500 0.000 x1

Values from the calculation:
- Total energy: -0.1383 hartree per atom
- Energy above the lowest structure with this stoichiometry: 292 meV per atom
- E_form (uncorrected): 0.32 eV/atom


# LiTaTe2N

A geometry-optimized LiTaTe2N structure (GGA-PBE, Alexandria via LeMat-Bulk).

a = 5.074 Å, b = 5.074 Å, c = 3.507 Å
α = 90.00°, β = 90.00°, γ = 90.00°
Space group P4/mmm (No. 123)
One atom of each set of equivalent atoms:
Li 0.000 0.000 0.000 x1
Ta 0.500 0.500 0.500 x1
Te 0.000 0.500 0.000 x2
N 0.000 0.000 0.500 x1

Values from the calculation:
- Total energy: -0.1730 hartree per atom
- Energy above the lowest structure with this stoichiometry: 1132 meV per atom
- E_form (uncorrected): 0.97 eV/atom


# MgNpCd4

A geometry-optimized MgNpCd4 structure (GGA-PBE, Alexandria via LeMat-Bulk).

a = 8.326 Å, b = 8.326 Å, c = 8.326 Å
α = 90.00°, β = 90.00°, γ = 90.00°
Space group F-43m (No. 216)
One atom of each set of equivalent atoms:
Mg 0.000 0.000 0.000 x4
Np 0.250 0.250 0.750 x4
Cd 0.125 0.125 0.375 x16

Values from the calculation:
- Energy of formation: 0.19 eV per atom
- Total energy: -0.1046 hartree per atom


# Ba3SrTl

A geometry-optimized Ba3SrTl structure (GGA-PBE, Alexandria via LeMat-Bulk).

a = 6.813 Å, b = 6.813 Å, c = 6.813 Å
α = 90.00°, β = 90.00°, γ = 90.00°
Space group Pm-3m (No. 221)
One atom of each set of equivalent atoms:
Ba 0.000 0.000 0.500 x3
Sr 0.500 0.500 0.500 x1
Tl 0.000 0.000 0.000 x1

Values from the calculation:
- Energy of formation: -0.02 eV per atom
- Total energy: -0.0728 hartree per atom
- Energy above the lowest structure with this stoichiometry: 174 meV per atom


# PrNd7Tm4

A geometry-optimized PrNd7Tm4 structure (GGA-PBE, Alexandria via LeMat-Bulk).

a = 16.147 Å, b = 6.017 Å, c = 9.539 Å
α = 90.00°, β = 117.44°, γ = 90.00°
Space group C2/m (No. 12)
One atom of each set of equivalent atoms:
Pr 0.000 0.000 0.000 x2
Nd 0.000 0.500 0.000 x2
Nd 0.089 0.000 0.458 x4
Nd 0.216 0.000 0.889 x4
Nd 0.219 0.000 0.250 x4
Tm 0.068 0.500 0.699 x4
Tm 0.167 0.500 0.372 x4

Values from the calculation:
- Energy of formation: 0.20 eV per atom
- Total energy: -0.1642 hartree per atom
- Energy above the lowest structure with this stoichiometry: 200 meV per atom


# Zr2TlAu

A geometry-optimized Zr2TlAu structure (GGA-PBE, Alexandria via LeMat-Bulk).

a = 3.202 Å, b = 5.094 Å, c = 5.251 Å
α = 90.00°, β = 90.07°, γ = 90.00°
Space group Pm (No. 6)
One atom of each set of equivalent atoms:
Zr 0.000 0.000 0.000 x1
Zr 0.003 0.500 0.610 x1
Tl 0.501 0.000 0.499 x1
Au 0.502 0.500 0.120 x1

Values from the calculation:
- Energy of formation: -0.21 eV per atom
- Total energy: -0.2167 hartree per atom


# AcMg3Ni2

A geometry-optimized AcMg3Ni2 structure (GGA-PBE, Alexandria via LeMat-Bulk).

a = 16.376 Å, b = 4.191 Å, c = 8.540 Å
α = 90.00°, β = 119.38°, γ = 90.00°
Space group C2/m (No. 12)
One atom of each set of equivalent atoms:
Ac 0.144 0.000 0.076 x4
Mg 0.039 0.000 0.368 x4
Mg 0.105 0.500 0.703 x4
Mg 0.180 0.500 0.450 x4
Ni 0.008 0.500 0.148 x4
Ni 0.198 0.000 0.677 x4

Values from the calculation:
- Energy of formation: -0.16 eV per atom
- Total energy: -0.1311 hartree per atom
- Energy above the lowest structure with this stoichiometry: 0 meV per atom


# Sm3ErNi

A geometry-optimized Sm3ErNi structure (GGA-PBE, Alexandria via LeMat-Bulk).

a = 12.206 Å, b = 3.669 Å, c = 13.973 Å
α = 90.00°, β = 115.55°, γ = 90.00°
Space group Cm (No. 8)
One atom of each set of equivalent atoms:
Sm 0.000 0.000 0.000 x2
Sm 0.044 0.000 0.594 x2
Sm 0.214 0.000 0.874 x2
Sm 0.280 0.500 0.117 x2
Sm 0.349 0.000 0.356 x2
Sm 0.423 0.000 0.753 x2
Er 0.065 0.500 0.243 x2
Er 0.229 0.500 0.513 x2
Ni 0.056 0.000 0.386 x2
Ni 0.225 0.500 0.722 x2

Values from the calculation:
- Energy of formation: -0.15 eV per atom
- Total energy: -0.1856 hartree per atom


# CaY2CuO

A geometry-optimized CaY2CuO structure (GGA-PBE, Alexandria via LeMat-Bulk).

a = 4.738 Å, b = 4.738 Å, c = 4.718 Å
α = 90.00°, β = 90.00°, γ = 90.00°
Space group P4/mmm (No. 123)
One atom of each set of equivalent atoms:
Ca 0.000 0.000 0.000 x1
Y 0.000 0.500 0.500 x2
Cu 0.500 0.500 0.000 x1
O 0.000 0.000 0.500 x1

Values from the calculation:
- Total energy: -0.2159 hartree per atom
- E_form (uncorrected): -1.08 eV/atom


# Pm3HgTe2

A geometry-optimized Pm3HgTe2 structure (GGA-PBE, Alexandria via LeMat-Bulk).

a = 4.329 Å, b = 6.311 Å, c = 13.701 Å
α = 90.00°, β = 90.00°, γ = 90.00°
Space group Immm (No. 71)
One atom of each set of equivalent atoms:
Pm 0.000 0.000 0.000 x2
Pm 0.000 0.000 0.335 x4
Hg 0.000 0.500 0.000 x2
Te 0.000 0.500 0.332 x4

Values from the calculation:
- Total energy: -0.1684 hartree per atom
- E_form (uncorrected): -1.11 eV/atom


# ZrTc2Br

A geometry-optimized ZrTc2Br structure (GGA-PBE, Alexandria via LeMat-Bulk).

a = 3.127 Å, b = 3.097 Å, c = 7.821 Å
α = 90.00°, β = 101.42°, γ = 90.00°
Space group Pm (No. 6)
One atom of each set of equivalent atoms:
Zr 0.000 0.000 0.000 x1
Tc 0.214 0.000 0.432 x1
Tc 0.627 0.500 0.256 x1
Br 0.373 0.500 0.745 x1

Values from the calculation:
- Total energy: -0.2856 hartree per atom
- Energy above the lowest structure with this stoichiometry: 0 meV per atom
- E_form (uncorrected): -0.03 eV/atom


# SnSb2I

A geometry-optimized SnSb2I structure (GGA-PBE, Alexandria via LeMat-Bulk).

a = 7.896 Å, b = 7.896 Å, c = 10.362 Å
α = 90.00°, β = 90.00°, γ = 90.00°
Space group I-42d (No. 122)
One atom of each set of equivalent atoms:
Sn 0.000 0.000 0.000 x4
Sb 0.214 0.250 0.125 x8
I 0.000 0.000 0.500 x4

Values from the calculation:
- Total energy: -0.1153 hartree per atom
- Energy above the lowest structure with this stoichiometry: 26 meV per atom
- E_form (uncorrected): 0.31 eV/atom


- Look up the total energy of the first one.
  -0.1383 hartree per atom


Repeat the eighth record exactly.
# Sm3ErNi

A geometry-optimized Sm3ErNi structure (GGA-PBE, Alexandria via LeMat-Bulk).

a = 12.206 Å, b = 3.669 Å, c = 13.973 Å
α = 90.00°, β = 115.55°, γ = 90.00°
Space group Cm (No. 8)
One atom of each set of equivalent atoms:
Sm 0.000 0.000 0.000 x2
Sm 0.044 0.000 0.594 x2
Sm 0.214 0.000 0.874 x2
Sm 0.280 0.500 0.117 x2
Sm 0.349 0.000 0.356 x2
Sm 0.423 0.000 0.753 x2
Er 0.065 0.500 0.243 x2
Er 0.229 0.500 0.513 x2
Ni 0.056 0.000 0.386 x2
Ni 0.225 0.500 0.722 x2

Values from the calculation:
- Energy of formation: -0.15 eV per atom
- Total energy: -0.1856 hartree per atom


- Among the records above, which one has the highest total energy?
  Ba3SrTl